No. 1
Density functional theory data (PBE) for a relaxed structure of LaMgMo2.

```
LaMgMo2
1.0
2.999 0.000 0.000
-1.186 2.755 0.000
0.000 0.000 10.093
La Mg Mo
1 1 2
Direct
0.000 0.000 0.476
0.500 0.500 0.787
0.000 0.000 0.024
0.500 0.500 0.213
```

Properties
As for the formation energy: 0.333 eV per atom. The density is 7.07 Mg/m³. Its magnetization is 0.00 μB/f.u.

***

No. 2
Density functional theory data (PBE) for a relaxed structure of LiAl2Rh.

```
LiAl2Rh
1.0
-0.801 -0.154 2.864
1.733 -2.768 0.336
4.657 3.095 1.470
Rh Al Li
1 2 1
Direct
0.500 0.500 0.750
0.000 0.000 0.991
0.000 0.000 0.509
0.500 0.500 0.250
```

Properties
As for the formation energy: -0.618 eV per atom. The density is 4.81 Mg/m³. Its magnetization is 0.00 μB/f.u.

***

No. 3
Density functional theory data (PBE) for a relaxed structure of CaFeC2.

```
CaFeC2
1.0
4.460 0.000 0.000
0.000 4.460 0.000
2.230 2.230 5.493
C Ca Fe
4 2 2
Direct
0.875 0.125 0.250
0.875 0.625 0.250
0.375 0.125 0.750
0.875 0.125 0.750
0.500 0.500 0.000
0.250 0.750 0.500
0.000 0.000 0.000
0.750 0.250 0.500
```

Properties
As for the formation energy: 0.271 eV per atom. The density is 3.65 Mg/m³. Its magnetization is 0.00 μB/f.u.